# 1
Cs2RbSr | PBE | optimized geometry

a b c (Å): 4.711 4.711 16.335
angles (deg): 90.00 90.00 108.73
Fractional positions:
Cs: 0.000 0.000 0.234
Cs: 0.000 0.000 0.766
Rb: 0.500 0.500 0.500
Sr: 0.500 0.500 0.000

Formation energy = 107.6 meV/atom
Energy above the most stable polymorph in this dataset = 0.00 eV per formula unit
SG = Cmmm, No. 65

# 2
Cs2RbSr | PBE | optimized geometry

a b c (Å): 10.047 10.047 10.047
angles (deg): 102.81 102.81 123.81
Fractional positions:
Cs: 0.120 0.625 0.995
Cs: 0.375 0.370 0.495
Cs: 0.630 0.125 0.005
Cs: 0.875 0.880 0.505
Rb: 0.000 0.000 0.000
Rb: 0.750 0.250 0.500
Sr: 0.250 0.750 0.500
Sr: 0.500 0.500 0.000

Formation energy = 220.1 meV/atom
Energy above the most stable polymorph in this dataset = 0.45 eV per formula unit
SG = I-42d, No. 122

# 3
Cs2Rb2Sr | PBE | optimized geometry

a b c (Å): 13.004 13.004 5.228
angles (deg): 90.00 90.00 90.00
Fractional positions:
Cs: 0.135 0.365 0.000
Cs: 0.365 0.865 0.000
Cs: 0.635 0.135 0.000
Cs: 0.865 0.635 0.000
Rb: 0.170 0.670 0.500
Rb: 0.330 0.170 0.500
Rb: 0.670 0.830 0.500
Rb: 0.830 0.330 0.500
Sr: 0.000 0.000 0.000
Sr: 0.500 0.500 0.000

Formation energy = 173.9 meV/atom
Energy above the most stable polymorph in this dataset = 0.09 eV per formula unit
SG = P4/mbm, No. 127

# 4
Cs3Rb3Sr | PBE | optimized geometry

a b c (Å): 12.499 12.499 12.499
angles (deg): 90.00 90.00 90.00
Fractional positions:
Cs: 0.000 0.250 0.500
Cs: 0.000 0.750 0.500
Cs: 0.250 0.500 0.000
Cs: 0.500 0.000 0.250
Cs: 0.500 0.000 0.750
Cs: 0.750 0.500 0.000
Rb: 0.000 0.500 0.250
Rb: 0.000 0.500 0.750
Rb: 0.250 0.000 0.500
Rb: 0.500 0.250 0.000
Rb: 0.500 0.750 0.000
Rb: 0.750 0.000 0.500
Sr: 0.000 0.000 0.000
Sr: 0.500 0.500 0.500

Formation energy = 410.3 meV/atom
SG = Pm-3n, No. 223

# 5
Cs8Rb6Sr | PBE | optimized geometry

a b c (Å): 12.060 12.060 12.567
angles (deg): 90.00 90.00 120.00
Fractional positions:
Cs: 0.093 0.789 0.185
Cs: 0.211 0.304 0.185
Cs: 0.304 0.093 0.815
Cs: 0.333 0.667 0.920
Cs: 0.667 0.333 0.080
Cs: 0.696 0.907 0.185
Cs: 0.789 0.696 0.815
Cs: 0.907 0.211 0.815
Rb: 0.118 0.696 0.584
Rb: 0.304 0.422 0.584
Rb: 0.422 0.118 0.416
Rb: 0.578 0.882 0.584
Rb: 0.696 0.578 0.416
Rb: 0.882 0.304 0.416
Sr: 0.000 0.000 0.500

Formation energy = 62.8 meV/atom
SG = P-3, No. 147

# 6
Cs2Rb2Sr | PBE | optimized geometry

a b c (Å): 13.765 13.765 13.765
angles (deg): 154.41 154.41 36.51
Fractional positions:
Cs: 0.094 0.094 0.000
Cs: 0.906 0.906 0.000
Rb: 0.250 0.750 0.500
Rb: 0.750 0.250 0.500
Sr: 0.500 0.500 0.000

Formation energy = 197.0 meV/atom
Energy above the most stable polymorph in this dataset = 0.20 eV per formula unit
SG = I4/mmm, No. 139

# 7
Cs2RbSr | PBE | optimized geometry

a b c (Å): 4.794 4.794 15.135
angles (deg): 90.00 90.00 90.00
Fractional positions:
Cs: 0.000 0.000 0.231
Cs: 0.000 0.000 0.769
Rb: 0.500 0.500 0.500
Sr: 0.500 0.500 0.000

Formation energy = 108.6 meV/atom
Energy above the most stable polymorph in this dataset = 0.00 eV per formula unit
SG = P4/mmm, No. 123

# 8
CsRb2Sr2 | PBE | optimized geometry

a b c (Å): 13.052 13.052 4.658
angles (deg): 90.00 90.00 90.00
Fractional positions:
Cs: 0.000 0.000 0.000
Cs: 0.500 0.500 0.000
Rb: 0.178 0.322 0.500
Rb: 0.322 0.822 0.500
Rb: 0.678 0.178 0.500
Rb: 0.822 0.678 0.500
Sr: 0.114 0.614 0.000
Sr: 0.386 0.114 0.000
Sr: 0.614 0.886 0.000
Sr: 0.886 0.386 0.000

Formation energy = 179.9 meV/atom
Energy above the most stable polymorph in this dataset = 0.00 eV per formula unit
SG = P4/mbm, No. 127

# 9
Cs2RbSr | PBE | optimized geometry

a b c (Å): 17.999 17.999 17.999
angles (deg): 15.22 15.22 15.22
Fractional positions:
Cs: 0.083 0.083 0.083
Cs: 0.917 0.917 0.917
Rb: 0.500 0.500 0.500
Sr: 0.000 0.000 0.000

Formation energy = 171.8 meV/atom
Energy above the most stable polymorph in this dataset = 0.26 eV per formula unit
SG = R-3m, No. 166

# 10
CsRbSr3 | PBE | optimized geometry

a b c (Å): 7.584 7.584 7.584
angles (deg): 90.00 90.00 90.00
Fractional positions:
Cs: 0.000 0.000 0.000
Rb: 0.500 0.500 0.500
Sr: 0.000 0.500 0.500
Sr: 0.500 0.000 0.500
Sr: 0.500 0.500 0.000

Formation energy = 559.1 meV/atom
Energy above the most stable polymorph in this dataset = 0.00 eV per formula unit
SG = Pm-3m, No. 221

# 11
Cs12Rb7Sr | PBE | optimized geometry

a b c (Å): 12.843 12.843 12.843
angles (deg): 91.24 91.24 91.24
Fractional positions:
Cs: 0.011 0.345 0.893
Cs: 0.107 0.989 0.655
Cs: 0.247 0.620 0.752
Cs: 0.248 0.753 0.380
Cs: 0.345 0.893 0.011
Cs: 0.380 0.248 0.753
Cs: 0.620 0.752 0.247
Cs: 0.655 0.107 0.989
Cs: 0.752 0.247 0.620
Cs: 0.753 0.380 0.248
Cs: 0.893 0.011 0.345
Cs: 0.989 0.655 0.107
Rb: 0.000 0.000 0.000
Rb: 0.131 0.360 0.438
Rb: 0.360 0.438 0.131
Rb: 0.438 0.131 0.360
Rb: 0.562 0.869 0.640
Rb: 0.640 0.562 0.869
Rb: 0.869 0.640 0.562
Sr: 0.500 0.500 0.500

Formation energy = 58.1 meV/atom
SG = R-3, No. 148

# 12
Cs2Rb2Sr | PBE | optimized geometry

a b c (Å): 12.198 12.198 12.198
angles (deg): 149.12 149.12 44.23
Fractional positions:
Cs: 0.250 0.750 0.500
Cs: 0.750 0.250 0.500
Rb: 0.090 0.090 0.000
Rb: 0.910 0.910 0.000
Sr: 0.500 0.500 0.000

Formation energy = 230.6 meV/atom
Energy above the most stable polymorph in this dataset = 0.37 eV per formula unit
SG = I4/mmm, No. 139

no.,E (eV per atom),total moment (Bohr magnetons per cell),D(E_F) (states/eV/atom)
1,-0.981,0.00,1.1031
2,-0.869,0.00,1.2002
3,-0.891,0.00,0.8841
4,-0.610,0.00,0.9434
5,-0.892,0.00,1.2739
6,-0.868,0.00,1.1440
7,-0.981,0.00,1.1904
8,-1.051,0.00,0.8417
9,-0.917,0.00,1.3178
10,-0.814,0.00,1.3796
11,-0.877,0.00,1.1387
12,-0.834,0.00,1.1329